DFT (PBE+U) results for crystalline NaWO2 at its relaxed geometry.

Structure (extended XYZ):
```
4
Lattice="2.197 -2.874 -1.377 1.659 -2.507 2.438 -1.262 -3.655 0.173" Properties=species:S:1:pos:R:3 pbc="T T T"
Na 0.000 0.000 0.000
O 0.649 -2.259 0.309
O 1.946 -6.777 0.926
W 1.297 -4.518 0.617
```

Summary:
Uncorrected energy in eV/cell: -21.5
Space group: Fm-3m (225)
Offset from the most stable computed form in kJ per mole of atoms: 59.5